#one
Density functional theory data (PBE) for a relaxed SrLiGe4 crystal.

Cell: 5.719 5.719 5.719 Å, 60.00 60.00 60.00°
Element x y z (fractional)
Ge1 0.121 0.626 0.626
Ge2 0.626 0.121 0.626
Ge3 0.626 0.626 0.626
Ge4 0.626 0.626 0.121
Li1 0.000 0.000 0.000
Sr1 0.250 0.250 0.250

#two
Density functional theory data (PBE) for a relaxed SrLiGe4 crystal.

Cell: 4.350 4.350 8.662 Å, 90.00 90.00 120.00°
Element x y z (fractional)
Ge1 0.333 0.667 0.776
Ge2 0.667 0.333 0.224
Sr1 0.000 0.000 0.500
Ge3 0.333 0.667 0.224
Li1 0.000 0.000 0.000
Ge4 0.667 0.333 0.776

The least stable of them is #two.

#one
Density functional theory data (PBE) for a relaxed SrLi3Ge2 crystal.

Cell: 4.495 7.035 8.754 Å, 68.18 75.12 71.37°
Element x y z (fractional)
Li1 0.054 0.289 0.604
Ge1 0.213 0.296 0.278
Sr1 0.129 0.750 0.991
Ge2 0.787 0.704 0.722
Ge3 0.415 0.920 0.250
Li2 0.410 0.511 0.668
Ge4 0.585 0.080 0.750
Li3 0.946 0.711 0.396
Li4 0.590 0.489 0.332
Sr2 0.871 0.250 0.009
Li5 0.747 0.082 0.423
Li6 0.253 0.918 0.577

#two
Density functional theory data (PBE) for a relaxed SrLi3Ge2 crystal.

Cell: 4.442 8.004 8.258 Å, 113.54 90.00 106.11°
Element x y z (fractional)
Sr1 0.159 0.318 0.075
Ge1 0.481 0.962 0.846
Ge2 0.822 0.644 0.322
Li1 0.591 0.181 0.677
Li2 0.409 0.819 0.323
Sr2 0.841 0.682 0.925
Ge3 0.178 0.356 0.678
Li3 0.969 0.939 0.641
Li4 0.683 0.366 0.458
Li5 0.031 0.061 0.359
Li6 0.317 0.634 0.542
Ge4 0.519 0.038 0.154

The least stable of them is #two.